Entry 1:
## K2ZrMo (PBE-GGA)

Data for K2ZrMo after structural relaxation.

Lattice parameters (Å, degrees): 2.9582 2.9582 13.1979 90.00 90.00 114.90
Last column: nearest neighbours and their distance in Å.
Fractional positions:
K 0.0000 0.0000 0.0171  6 K 2.96-3.18
K 0.0000 0.0000 0.4829  6 K 2.96-3.18
Mo 0.5000 0.5000 0.2500  6 Mo 2.96-3.18
Zr 0.5000 0.5000 0.7500  6 Zr 2.96-3.18

Summary:
Symmetry = Cmmm (65)
ρ = 4206 kg/m³
Calculated volume = 104.8 Å³/cell
E above lowest polymorph = 559 meV per atom

---

Entry 2:
## SrLa2Cl (PBE-GGA)

Data for SrLa2Cl after structural relaxation.

Lattice parameters (Å, degrees): 7.6610 4.4662 4.4662 90.00 90.00 90.00
Last column: nearest neighbours and their distance in Å.
Fractional positions:
Cl 0.5000 0.0000 0.5000  4 Sr 3.16
La 0.0000 0.0000 0.0000  4 La 3.16
La 0.0000 0.5000 0.5000  4 La 3.16
Sr 0.5000 0.5000 0.0000  4 Cl 3.16

Summary:
Symmetry = P4/mmm (123)
ρ = 4356 kg/m³
Calculated volume = 152.8 Å³/cell
E above lowest polymorph = 337 meV per atom
Uncorrected formation energy = -0.342 eV/atom